A relaxed structure of RbTmSiTe4. Source: Alexandria, functional GGA-PBE.

Unit cell a=7.117 b=7.618 c=10.066 alpha=90.00 beta=108.74 gamma=90.00
Atoms (fractional coordinates):
Rb (0.230, 0.250, 0.053)
Rb (0.770, 0.750, 0.947)
Tm (0.229, 0.250, 0.551)
Tm (0.771, 0.750, 0.449)
Si (0.218, 0.750, 0.336)
Si (0.782, 0.250, 0.664)
Te (0.021, 0.507, 0.703)
Te (0.021, 0.993, 0.703)
Te (0.419, 0.750, 0.172)
Te (0.445, 0.750, 0.585)
Te (0.555, 0.250, 0.415)
Te (0.581, 0.250, 0.828)
Te (0.979, 0.007, 0.297)
Te (0.979, 0.493, 0.297)

Computed properties:
Total magnetic moment, Bohr magnetons per cell: 0.000
VASP energy, Ry per atom: -0.3031